This record from the Alexandria database describes crystalline ZrTeAu2 at its relaxed geometry. The functional is GGA-PBEsol.

The structure belongs to space group Imm2 (No. 44); the cell edges are 4.1496, 4.1783 and 9.2256 Å and the angles 90.00°, 90.00° and 90.00°. The inequivalent atoms are Zr at (0.0000, 0.0000, 0.0000), Te at (0.0000, 0.5000, 0.2501), Au at (0.0000, 0.0000, 0.4988) and Au at (0.0000, 0.5000, 0.7494).

Its density of states at the Fermi level is 1.16 states/eV/atom. As for the total energy: -5.37 eV/atom. As for the energy relative to the elements, uncorrected: -5.9 kcal/mol of atoms.